Entry from OQMD: a geometry-optimized Nd2Ni12As7 structure (GGA-PBE).

Cell: 9.400 9.400 3.890 Å, 90.00 90.00 120.00°
Fractional coordinates of all 21 atoms:
Ni: 0.576 0.953 0.500
Ni: 0.436 0.056 0.000
As: 0.297 0.896 0.500
As: 0.887 0.599 0.000
Ni: 0.888 0.791 0.500
Nd: 0.333 0.667 0.000
Ni: 0.722 0.871 0.000
Ni: 0.619 0.564 0.000
As: 0.712 0.113 0.000
Ni: 0.377 0.424 0.500
As: 0.401 0.288 0.000
As: 0.104 0.401 0.500
As: 0.000 0.000 0.000
Ni: 0.944 0.381 0.000
Ni: 0.149 0.278 0.000
Nd: 0.667 0.333 0.500
Ni: 0.903 0.112 0.500
As: 0.599 0.703 0.500
Ni: 0.047 0.623 0.500
Ni: 0.209 0.097 0.500
Ni: 0.129 0.851 0.000

Computed properties:
- SG: No. 174
- Calculated volume: 14.172 Å³ per atom
- Total magnetization: 0.02 μB/f.u.
- Uncorrected energy: -5.732 eV/atom